# Pu2Al9Co3

Crystalline Pu2Al9Co3 at its relaxed geometry (GGA-PBE, Alexandria).

Unit cell a=7.451 b=7.451 c=10.234 alpha=89.93 beta=111.05 gamma=120.55
Positions (direct):
Pu1 0.339 0.248 0.751
Pu2 0.661 0.752 0.249
Pu3 0.997 0.588 0.749
Pu4 0.003 0.412 0.251
Al1 0.456 0.920 0.748
Al2 0.544 0.080 0.252
Al3 0.672 0.708 0.752
Al4 0.328 0.292 0.248
Al5 0.447 0.639 0.927
Al6 0.553 0.361 0.073
Al7 0.212 0.520 0.573
Al8 0.788 0.480 0.427
Al9 0.889 0.139 0.750
Al10 0.111 0.861 0.250
Al11 0.138 0.987 0.952
Al12 0.862 0.013 0.048
Al13 0.536 0.186 0.548
Al14 0.464 0.814 0.452
Al15 0.879 0.859 0.569
Al16 0.121 0.141 0.431
Al17 0.790 0.310 0.931
Al18 0.210 0.690 0.069
Co1 0.500 0.000 0.000
Co2 0.500 0.500 0.500
Co3 0.839 0.170 0.498
Co4 0.161 0.830 0.502
Co5 0.172 0.342 0.002
Co6 0.828 0.658 0.998

Calculated values
- Fermi-level density of states: 62.0 states/eV per cell
- Density: 6.8 Mg/m³
- Energy of formation: -417 meV/atom